No. 1
# Ti3CuO8 | the Alexandria database | PBE | optimized geometry
# Volume in Å³ per cell: 139
# N(E_F) in states/eV per cell: 3.93
# E_form (uncorrected) in meV/atom: -2250
data_Ti3CuO8
_symmetry_space_group_name_H-M 'P -4 m 2'
_symmetry_Int_Tables_number 115
_cell_length_a 3.803
_cell_length_b 3.803
_cell_length_c 9.612
_cell_angle_alpha 90.00
_cell_angle_beta 90.00
_cell_angle_gamma 90.00
loop_
_symmetry_equiv_pos_as_xyz
'x,y,z'
'y,-x,-z'
'-x,-y,z'
'-y,x,-z'
'-x,y,z'
'-y,-x,-z'
'x,-y,z'
'y,x,-z'
loop_
_atom_site_label
_atom_site_type_symbol
_atom_site_fract_x
_atom_site_fract_y
_atom_site_fract_z
Ti1 Ti 0.000 0.000 0.000
Ti2 Ti 0.000 0.500 0.255
Cu1 Cu 0.500 0.500 0.500
O1 O 0.000 0.000 0.208
O2 O 0.000 0.500 0.044
O3 O 0.000 0.500 0.459
O4 O 0.500 0.500 0.301

***

No. 2
# Tl4SnBr6 | the Alexandria database | PBE | optimized geometry
# Volume in Å³ per cell: 782
# N(E_F) in states/eV per cell: 0.00
# E_form (uncorrected) in meV/atom: -822
data_Tl4SnBr6
_symmetry_space_group_name_H-M 'P 4/m n c'
_symmetry_Int_Tables_number 128
_symmetry_space_group_name_Hall '-P 4 2n'
_cell_length_a 8.981
_cell_length_b 8.981
_cell_length_c 9.697
_cell_angle_alpha 90.00
_cell_angle_beta 90.00
_cell_angle_gamma 90.00
loop_
_atom_site_label
_atom_site_type_symbol
_atom_site_fract_x
_atom_site_fract_y
_atom_site_fract_z
Tl1 Tl 0.164 0.336 0.250
Sn1 Sn 0.000 0.000 0.000
Br1 Br 0.000 0.000 0.303
Br2 Br 0.127 0.688 0.000

***

No. 3
# Li7In2Sn | the Alexandria database | PBE | optimized geometry
# Energy of formation in kJ/mol of formula units: -162
# Volume in Å³ per cell: 394
# N(E_F) in states/eV per cell: 6.84
# ΔE to the lowest computed polymorph in kJ/mol of formula units: 15
data_Li7In2Sn
_symmetry_space_group_name_H-M 'C m m m'
_symmetry_Int_Tables_number 65
_symmetry_space_group_name_Hall '-C 2 2'
_cell_length_a 5.355
_cell_length_b 24.260
_cell_length_c 3.036
_cell_angle_alpha 90.00
_cell_angle_beta 90.00
_cell_angle_gamma 90.00
loop_
_atom_site_label
_atom_site_type_symbol
_atom_site_fract_x
_atom_site_fract_y
_atom_site_fract_z
Li1 Li 0.000 0.000 0.000
Li2 Li 0.000 0.302 0.500
Li3 Li 0.237 0.403 0.000
In1 In 0.000 0.199 0.000
Sn1 Sn 0.000 0.500 0.500

***

No. 4
# Rb2CdPtF6 | the Alexandria database | PBE | optimized geometry
# Volume in Å³ per cell: 720
# N(E_F) in states/eV per cell: 0.00
# E_form (uncorrected) in meV/atom: -1990
data_Rb2CdPtF6
_symmetry_space_group_name_H-M 'F m -3 m'
_symmetry_Int_Tables_number 225
_symmetry_space_group_name_Hall '-F 4 2 3'
_cell_length_a 8.963
_cell_length_b 8.963
_cell_length_c 8.963
_cell_angle_alpha 90.00
_cell_angle_beta 90.00
_cell_angle_gamma 90.00
loop_
_atom_site_label
_atom_site_type_symbol
_atom_site_fract_x
_atom_site_fract_y
_atom_site_fract_z
Rb1 Rb 0.250 0.250 0.250
Cd1 Cd 0.000 0.000 0.000
Pt1 Pt 0.000 0.000 0.500
F1 F 0.000 0.000 0.250

***

No. 5
# MgCo2Rh | the Alexandria database | PBE | optimized geometry
# Energy of formation in kJ/mol of formula units: 0
# Volume in Å³ per cell: 106
# N(E_F) in states/eV per cell: 5.86
data_MgCo2Rh
_symmetry_space_group_name_H-M 'C 1 2/m 1'
_symmetry_Int_Tables_number 12
_cell_length_a 9.534
_cell_length_b 2.993
_cell_length_c 4.119
_cell_angle_alpha 90.00
_cell_angle_beta 115.49
_cell_angle_gamma 90.00
loop_
_symmetry_equiv_pos_as_xyz
'x,y,z'
'-x,-y,-z'
'-x,y,-z'
'x,-y,z'
'x+1/2,y+1/2,z'
'-x+1/2,-y+1/2,-z'
'-x+1/2,y+1/2,-z'
'x+1/2,-y+1/2,z'
loop_
_atom_site_label
_atom_site_type_symbol
_atom_site_fract_x
_atom_site_fract_y
_atom_site_fract_z
Mg1 Mg 0.000 0.000 0.000
Co1 Co 0.246 0.000 0.746
Rh1 Rh 0.000 0.500 0.500

***

No. 6
# NbIrN2 | the Alexandria database | PBE | optimized geometry
# Volume in Å³ per cell: 203
# N(E_F) in states/eV per cell: 11.16
# E_form (uncorrected) in meV/atom: -51
# ΔE to the lowest computed polymorph in kJ/mol of formula units: 20
data_NbIrN2
_symmetry_space_group_name_H-M 'I -4 2 d'
_symmetry_Int_Tables_number 122
_symmetry_space_group_name_Hall 'I -4 2bw'
_cell_length_a 4.260
_cell_length_b 4.260
_cell_length_c 11.203
_cell_angle_alpha 90.00
_cell_angle_beta 90.00
_cell_angle_gamma 90.00
loop_
_atom_site_label
_atom_site_type_symbol
_atom_site_fract_x
_atom_site_fract_y
_atom_site_fract_z
Nb1 Nb 0.000 0.000 0.000
Ir1 Ir 0.000 0.000 0.500
N1 N 0.248 0.250 0.125

***

No. 7
# SmTm4Pd4 | the Alexandria database | PBE | optimized geometry
# Energy of formation in kJ/mol of formula units: -599
# Volume in Å³ per cell: 461
# N(E_F) in states/eV per cell: 14.69
data_SmTm4Pd4
_symmetry_space_group_name_H-M 'P 42/n'
_symmetry_Int_Tables_number 86
_cell_length_a 8.999
_cell_length_b 8.999
_cell_length_c 5.690
_cell_angle_alpha 90.00
_cell_angle_beta 90.00
_cell_angle_gamma 90.00
loop_
_symmetry_equiv_pos_as_xyz
'x,y,z'
'-x,-y,-z'
'-y,x+1/2,z+1/2'
'y,-x+1/2,-z+1/2'
'-x+1/2,-y+1/2,z'
'x+1/2,y+1/2,-z'
'y+1/2,-x,z+1/2'
'-y+1/2,x,-z+1/2'
loop_
_atom_site_label
_atom_site_type_symbol
_atom_site_fract_x
_atom_site_fract_y
_atom_site_fract_z
Sm1 Sm 0.250 0.250 0.250
Tm1 Tm 0.079 0.654 0.162
Pd1 Pd 0.038 0.621 0.661

***

No. 8
# YHoO3 | the Alexandria database | PBE | optimized geometry
# Volume in Å³ per cell: 94
# N(E_F) in states/eV per cell: 0.00
# E_form (uncorrected) in meV/atom: -3376
data_YHoO3
_symmetry_space_group_name_H-M 'P -6 m 2'
_symmetry_Int_Tables_number 187
_symmetry_space_group_name_Hall 'P -6 2'
_cell_length_a 5.9527
_cell_length_b 5.9527
_cell_length_c 3.0506
_cell_angle_alpha 90.00
_cell_angle_beta 90.00
_cell_angle_gamma 120.00
loop_
_atom_site_label
_atom_site_type_symbol
_atom_site_fract_x
_atom_site_fract_y
_atom_site_fract_z
Y1 Y 0.0000 0.0000 0.0000
Ho1 Ho 0.3333 0.6667 0.0000
O1 O 0.1676 0.3353 0.5000

***

No. 9
# Ta2TlRh | the Alexandria database | PBE | optimized geometry
# Energy of formation in kJ/mol of formula units: 55
# Volume in Å³ per cell: 72
# N(E_F) in states/eV per cell: 3.84
# ΔE to the lowest computed polymorph in kJ/mol of formula units: 28
data_Ta2TlRh
_symmetry_space_group_name_H-M 'P 4/m m m'
_symmetry_Int_Tables_number 123
_symmetry_space_group_name_Hall '-P 4 2'
_cell_length_a 4.045
_cell_length_b 4.045
_cell_length_c 4.372
_cell_angle_alpha 90.00
_cell_angle_beta 90.00
_cell_angle_gamma 90.00
loop_
_atom_site_label
_atom_site_type_symbol
_atom_site_fract_x
_atom_site_fract_y
_atom_site_fract_z
Ta1 Ta 0.000 0.500 0.000
Tl1 Tl 0.000 0.000 0.500
Rh1 Rh 0.500 0.500 0.500

***

No. 10
# CdIn2P | the Alexandria database | PBE | optimized geometry
# Energy of formation in kJ/mol of formula units: 38
# Volume in Å³ per cell: 198
# N(E_F) in states/eV per cell: 1.93
# ΔE to the lowest computed polymorph in kJ/mol of formula units: 32
data_CdIn2P
_symmetry_space_group_name_H-M 'C 1 m 1'
_symmetry_Int_Tables_number 8
_cell_length_a 9.716
_cell_length_b 3.790
_cell_length_c 5.821
_cell_angle_alpha 90.00
_cell_angle_beta 112.62
_cell_angle_gamma 90.00
loop_
_symmetry_equiv_pos_as_xyz
'x,y,z'
'x,-y,z'
'x+1/2,y+1/2,z'
'x+1/2,-y+1/2,z'
loop_
_atom_site_label
_atom_site_type_symbol
_atom_site_fract_x
_atom_site_fract_y
_atom_site_fract_z
Cd1 Cd 0.000 0.000 0.000
In1 In 0.125 0.500 0.611
In2 In 0.344 0.500 0.369
P1 P 0.271 0.000 0.983

***

No. 11
# CaZn2Cu | the Alexandria database | PBE | optimized geometry
# Energy of formation in kJ/mol of formula units: -86
# Volume in Å³ per cell: 597
# N(E_F) in states/eV per cell: 17.54
data_CaZn2Cu
_symmetry_space_group_name_H-M 'P n m a'
_symmetry_Int_Tables_number 62
_cell_length_a 15.300
_cell_length_b 7.194
_cell_length_c 5.425
_cell_angle_alpha 90.00
_cell_angle_beta 90.00
_cell_angle_gamma 90.00
loop_
_symmetry_equiv_pos_as_xyz
'x,y,z'
'-x,-y,-z'
'-x+1/2,-y,z+1/2'
'x+1/2,y,-z+1/2'
'x+1/2,-y+1/2,-z+1/2'
'-x+1/2,y+1/2,z+1/2'
'-x,y+1/2,-z'
'x,-y+1/2,z'
loop_
_atom_site_label
_atom_site_type_symbol
_atom_site_fract_x
_atom_site_fract_y
_atom_site_fract_z
Ca1 Ca 0.106 0.250 0.247
Ca2 Ca 0.138 0.750 0.465
Zn1 Zn 0.040 0.062 0.761
Zn2 Zn 0.212 0.559 0.945
Cu1 Cu 0.069 0.750 0.974
Cu2 Cu 0.187 0.250 0.730

***

No. 12
# TcHgAsBr2 | the Alexandria database | PBE | optimized geometry
# Volume in Å³ per cell: 134
# N(E_F) in states/eV per cell: 2.14
# E_form (uncorrected) in meV/atom: 217
# ΔE to the lowest computed polymorph in kJ/mol of formula units: 0
data_TcHgAsBr2
_symmetry_space_group_name_H-M 'P 4/m m m'
_symmetry_Int_Tables_number 123
_symmetry_space_group_name_Hall '-P 4 2'
_cell_length_a 5.277
_cell_length_b 5.277
_cell_length_c 4.805
_cell_angle_alpha 90.00
_cell_angle_beta 90.00
_cell_angle_gamma 90.00
loop_
_atom_site_label
_atom_site_type_symbol
_atom_site_fract_x
_atom_site_fract_y
_atom_site_fract_z
Tc1 Tc 0.000 0.000 0.000
Hg1 Hg 0.500 0.500 0.500
As1 As 0.000 0.000 0.500
Br1 Br 0.000 0.500 0.000